1.
Below is a geometry-optimized K2ScTa structure, with properties calculated at the PBE level.

DFT formation energy: 1.61 eV/atom
space group: P4/mmm (123)
DOS(E_F): 4.92 states/eV/f.u.
crystal system: tetragonal

a = 6.8114 Å, b = 6.8114 Å, c = 2.9085 Å
α = 90.00°, β = 90.00°, γ = 90.00°
With the nearest neighbours (Å) after each atom.
Atoms (fractional coordinates):
K (0.0000, 0.5000, 0.0000)  2 K 2.91
K (0.5000, 0.0000, 0.0000)  2 K 2.91
Sc (0.0000, 0.0000, 0.5000)  2 Sc 2.91
Ta (0.5000, 0.5000, 0.5000)  2 Ta 2.91

2.
Below is a geometry-optimized TlCSCl2 structure, with properties calculated at the PBE level.

space group: P4/mmm (123)
uncorrected formation energy: 1.52 eV/atom
DOS(E_F): 3.00 states/eV/f.u.
crystal system: tetragonal

a = 5.2074 Å, b = 5.2074 Å, c = 5.3255 Å
α = 90.00°, β = 90.00°, γ = 90.00°
With the nearest neighbours (Å) after each atom.
Atoms (fractional coordinates):
Tl (0.0000, 0.0000, 0.0000)  4 Cl 2.60, 2 S 2.66
C (0.5000, 0.5000, 0.5000)  4 S 3.68, 8 Cl 3.72
S (0.0000, 0.0000, 0.5000)  2 Tl 2.66
Cl (0.0000, 0.5000, 0.0000)  2 Tl 2.60
Cl (0.5000, 0.0000, 0.0000)  2 Tl 2.60

3.
Below is a geometry-optimized K3CdCu2Br8 structure, with properties calculated at the PBE level.

space group: P-3m1 (164)
uncorrected formation energy: -0.98 eV/atom
DOS(E_F): 11.41 states/eV/f.u.
crystal system: trigonal

a = 7.6312 Å, b = 7.6312 Å, c = 9.3836 Å
α = 90.00°, β = 90.00°, γ = 120.00°
With the nearest neighbours (Å) after each atom.
Atoms (fractional coordinates):
K (0.0000, 0.0000, 0.0000)  6 Br 3.69
K (0.3333, 0.6667, 0.6107)  4 Br 3.18-3.54
K (0.6667, 0.3333, 0.3893)  4 Br 3.18-3.54
Cd (0.0000, 0.0000, 0.5000)  6 Br 2.80
Cu (0.3333, 0.6667, 0.1959)  4 Br 2.31-2.48
Cu (0.6667, 0.3333, 0.8041)  4 Br 2.31-2.48
Br (0.1664, 0.3328, 0.3159)  1 Cu 2.48
Br (0.1664, 0.8336, 0.3159)  1 Cu 2.48
Br (0.3328, 0.1664, 0.6841)  1 Cu 2.48
Br (0.3333, 0.6667, 0.9499)  1 Cu 2.31
Br (0.6667, 0.3333, 0.0501)  1 Cu 2.31
Br (0.6672, 0.8336, 0.3159)  1 Cu 2.48
Br (0.8336, 0.1664, 0.6841)  1 Cu 2.48
Br (0.8336, 0.6672, 0.6841)  1 Cu 2.48